La2TbDyEr | Alexandria via LeMat-Bulk | PBE-GGA | optimized geometry; ΔH_f (0 K) = 115 kJ/mol of formula units; symmetry = Pmma; size of the total moment = 0.000 μB per formula unit
1.0
-4.719 -3.826 -2.999
4.464 -0.445 -6.457
2.820 -5.294 2.315
La Tb Er Dy
4 2 2 2
direct
0.290 0.298 0.250 La
0.710 0.702 0.750 La
0.290 0.702 0.250 La
0.710 0.298 0.750 La
0.185 0.500 0.750 Tb
0.815 0.500 0.250 Tb
0.000 0.000 0.500 Er
0.000 0.000 0.000 Er
0.593 0.000 0.250 Dy
0.407 0.000 0.750 Dy



CuP4Se3I | Alexandria via LeMat-Bulk | PBE-GGA | optimized geometry; formation energy (no corrections) = -1.04 eV per formula unit; symmetry = Cmce; size of the total moment = 0.000 μB per formula unit
1.0
7.818 0.000 0.000
0.000 13.612 0.000
-3.909 0.000 11.796
Se P I Cu
12 16 4 4
direct
0.709 0.388 0.418 Se
0.791 0.888 0.582 Se
0.875 0.589 0.306 Se
0.570 0.411 0.694 Se
0.430 0.589 0.306 Se
0.291 0.612 0.582 Se
0.209 0.112 0.418 Se
0.070 0.089 0.694 Se
0.375 0.911 0.306 Se
0.125 0.411 0.694 Se
0.930 0.911 0.306 Se
0.625 0.089 0.694 Se
0.722 0.494 0.157 P
0.212 0.943 0.424 P
0.222 0.006 0.157 P
0.278 0.506 0.843 P
0.288 0.443 0.576 P
0.386 0.636 0.772 P
0.778 0.994 0.843 P
0.435 0.494 0.157 P
0.935 0.006 0.157 P
0.788 0.057 0.576 P
0.065 0.994 0.843 P
0.614 0.364 0.228 P
0.712 0.557 0.424 P
0.886 0.864 0.772 P
0.114 0.136 0.228 P
0.565 0.506 0.843 P
0.510 0.842 0.021 I
0.490 0.158 0.979 I
0.990 0.342 0.979 I
0.010 0.658 0.021 I
0.190 0.500 0.000 Cu
0.310 0.000 0.000 Cu
0.810 0.500 0.000 Cu
0.690 0.000 0.000 Cu



Pu2NF2 | Alexandria via LeMat-Bulk | PBE-GGA | optimized geometry; formation energy (no corrections) = -11.44 eV per formula unit; symmetry = R-3m; size of the total moment = 11.000 μB per formula unit
1.0
3.452 0.000 0.542
1.683 3.014 0.542
0.440 0.258 8.460
F Pu N
2 2 1
direct
0.114 0.114 0.658 F
0.886 0.886 0.342 F
0.391 0.391 0.826 Pu
0.609 0.609 0.174 Pu
0.000 0.000 0.000 N



Cu3PbO6 | Alexandria via LeMat-Bulk | PBE-GGA | optimized geometry; energy above the lowest structure with this stoichiometry = 66 meV/atom; formation energy (no corrections) = -5.00 eV per formula unit; symmetry = R3; size of the total moment = 1.337 μB per formula unit
1.0
5.236 0.000 0.000
2.618 4.534 0.000
2.618 1.511 4.637
Cu O Pb
3 6 1
direct
0.353 0.353 0.942 Cu
0.147 0.147 0.559 Cu
0.655 0.655 0.035 Cu
0.048 0.427 0.768 O
0.295 0.939 0.251 O
0.939 0.514 0.251 O
0.427 0.758 0.768 O
0.514 0.295 0.251 O
0.758 0.048 0.768 O
0.864 0.864 0.407 Pb